[1]
This record from Alexandria describes an optimized crystal structure of Hg2IrPd. The functional is PBE.

```
Hg2IrPd
1.0
0.000 3.286 3.286
3.286 0.000 3.286
3.286 3.286 0.000
Hg Ir Pd
2 1 1
direct
0.250 0.250 0.250
0.750 0.750 0.750
0.000 0.000 0.000
0.500 0.500 0.500
```

Calculated values
The raw total energy comes out at -3.412 eV per atom. The magnetic moment comes out at 0.0 μB/cell. As for the distance to the lowest polymorph of the same formula: 0 meV/atom. For the energy of formation, the calculation gives 0.25 eV/atom.

---

[2]
This record from Alexandria describes an optimized crystal structure of PPtRh2. The functional is PBE.

```
PPtRh2
1.0
3.599 0.000 0.000
0.000 1.464 5.472
0.000 -1.464 5.472
P Pt Rh
1 1 2
direct
0.000 0.000 0.000
0.500 0.151 0.151
0.000 0.788 0.788
0.500 0.432 0.432
```

Calculated values
The raw total energy comes out at -6.804 eV per atom. The magnetic moment comes out at 0.0 μB/cell. For the energy of formation, the calculation gives -0.27 eV/atom.

---

[3]
This record from Alexandria describes an optimized crystal structure of AlRh2Br. The functional is PBE.

```
AlRh2Br
1.0
1.512 -2.535 0.000
1.512 2.535 0.000
0.000 0.000 8.537
Al Rh Br
1 2 1
direct
0.000 0.000 0.000
0.500 0.500 0.224
0.500 0.500 0.776
0.000 0.000 0.500
```

Calculated values
Its formation energy without anion corrections is 0.0133 eV/atom. The raw total energy comes out at -5.016 eV per atom. The magnetic moment comes out at 0.0 μB/cell. As for the distance to the lowest polymorph of the same formula: 330 meV/atom.

---

[4]
This record from Alexandria describes an optimized crystal structure of Ho2ScSi2. The functional is PBE.

```
Ho2ScSi2
1.0
5.872 -2.099 0.000
5.872 2.099 0.000
-4.708 0.000 9.067
Ho Sc Si
4 2 4
direct
0.015 0.015 0.187
0.182 0.182 0.595
0.818 0.818 0.405
0.985 0.985 0.813
0.275 0.275 0.130
0.725 0.725 0.870
0.383 0.383 0.940
0.488 0.488 0.611
0.512 0.512 0.389
0.617 0.617 0.060
```

Calculated values
Its formation energy without anion corrections is -0.6984 eV/atom. The raw total energy comes out at -5.965 eV per atom. The magnetic moment comes out at 0.0 μB/cell. As for the distance to the lowest polymorph of the same formula: 8 meV/atom.

---

[5]
This record from Alexandria describes an optimized crystal structure of BeTcTe. The functional is PBE.

```
BeTcTe
1.0
0.000 2.447 6.165
1.713 0.000 6.165
1.713 2.447 0.000
Be Tc Te
1 1 1
direct
0.000 0.000 0.000
0.621 0.621 0.379
0.300 0.300 0.700
```

Calculated values
Its formation energy without anion corrections is 0.7299 eV/atom. The raw total energy comes out at -5.015 eV per atom. The magnetic moment comes out at 0.0 μB/cell. As for the distance to the lowest polymorph of the same formula: 529 meV/atom.

---

[6]
This record from Alexandria describes an optimized crystal structure of HfCd3Si. The functional is PBE.

```
HfCd3Si
1.0
5.508 0.000 0.000
0.000 5.508 0.000
0.000 0.000 5.508
Hf Cd Si
1 3 1
direct
0.000 0.000 0.000
0.000 0.000 0.500
0.000 0.500 0.000
0.500 0.000 0.000
0.500 0.500 0.500
```

Calculated values
Its formation energy without anion corrections is 1.3052 eV/atom. The raw total energy comes out at -2.319 eV per atom. The magnetic moment comes out at 0.0 μB/cell. As for the distance to the lowest polymorph of the same formula: 483 meV/atom.

---

[7]
This record from Alexandria describes an optimized crystal structure of K2SrTc. The functional is PBE.

```
K2SrTc
1.0
-2.477 2.477 6.510
2.477 -2.477 6.510
2.477 2.477 -6.510
K Sr Tc
2 1 1
direct
0.250 0.750 0.500
0.750 0.250 0.500
0.000 0.000 0.000
0.500 0.500 0.000
```

Calculated values
The raw total energy comes out at -2.481 eV per atom. The magnetic moment comes out at 3.1 μB/cell. As for the distance to the lowest polymorph of the same formula: 216 meV/atom. For the energy of formation, the calculation gives 1.08 eV/atom.

---

[8]
This record from Alexandria describes an optimized crystal structure of Ac2PrSm5. The functional is PBE.

```
Ac2PrSm5
1.0
-2.655 2.655 10.400
2.655 -2.655 10.400
2.655 2.655 -10.400
Ac Pr Sm
2 1 5
direct
0.250 0.250 0.000
0.750 0.750 0.000
0.000 0.000 0.000
0.120 0.620 0.500
0.380 0.880 0.500
0.500 0.500 0.000
0.620 0.120 0.500
0.880 0.380 0.500
```

Calculated values
The raw total energy comes out at -4.540 eV per atom. The magnetic moment comes out at 0.0 μB/cell. For the energy of formation, the calculation gives 0.03 eV/atom.

---

[9]
This record from Alexandria describes an optimized crystal structure of HRuNF2. The functional is PBE.

```
HRuNF2
1.0
4.120 0.000 0.000
0.000 4.120 0.000
0.000 0.000 3.685
H Ru N F
1 1 1 2
direct
0.000 0.000 0.000
0.500 0.500 0.500
0.500 0.500 0.000
0.000 0.500 0.500
0.500 0.000 0.500
```

Calculated values
The raw total energy comes out at -4.976 eV per atom. The magnetic moment comes out at 0.5 μB/cell. As for the distance to the lowest polymorph of the same formula: 0 meV/atom.

---

[10]
This record from Alexandria describes an optimized crystal structure of NiMoHOs2. The functional is PBE.

```
NiMoHOs2
1.0
3.933 0.000 0.000
0.000 3.933 0.000
0.000 0.000 3.738
Ni Mo H Os
1 1 1 2
direct
0.000 0.000 0.000
0.500 0.500 0.000
0.000 0.000 0.500
0.000 0.500 0.500
0.500 0.000 0.500
```

Calculated values
The raw total energy comes out at -8.328 eV per atom. The magnetic moment comes out at 0.0 μB/cell.

---

[11]
This record from Alexandria describes an optimized crystal structure of Pr8Te4Se3S. The functional is PBE.

```
Pr8Te4Se3S
1.0
4.364 2.520 7.235
-4.364 2.520 7.235
0.000 -5.040 7.235
Pr Te Se S
8 4 3 1
direct
0.240 0.240 0.240
0.250 0.732 0.732
0.268 0.268 0.750
0.268 0.750 0.268
0.732 0.250 0.732
0.732 0.732 0.250
0.750 0.268 0.268
0.760 0.760 0.760
0.000 0.000 0.000
0.000 0.500 0.500
0.500 0.000 0.500
0.500 0.500 0.000
0.000 0.000 0.500
0.000 0.500 0.000
0.500 0.000 0.000
0.500 0.500 0.500
```

Calculated values
Its formation energy without anion corrections is -1.6758 eV/atom. The raw total energy comes out at -5.762 eV per atom. The magnetic moment comes out at 0.0 μB/cell.

---

[12]
This record from Alexandria describes an optimized crystal structure of CsSmSe2. The functional is PBE.

```
CsSmSe2
1.0
2.169 1.252 8.486
-2.169 1.252 8.486
0.000 -2.504 8.486
Cs Sm Se
1 1 2
direct
0.000 0.000 0.000
0.169 0.169 0.169
0.565 0.565 0.565
0.773 0.773 0.773
```

Calculated values
Its formation energy without anion corrections is -1.7145 eV/atom. The raw total energy comes out at -4.850 eV per atom. The magnetic moment comes out at 0.0 μB/cell.